(A)
Compound: AcTb3Te4
Source: Alexandria
Functional: GGA-PBE
Structure: optimized geometry

Properties
Its magnetic moment is 0.000 μB/f.u.

a = 4.3809 Å, b = 4.3809 Å, c = 30.2830 Å
α = 90.00°, β = 90.00°, γ = 120.00°
With the nearest neighbours (Å) after each atom.
Sites, in units of the cell vectors:
1 Ac 0.3333 0.6667 0.2500  6 Te 3.36
2 Ac 0.6667 0.3333 0.7500  6 Te 3.36
3 Tb 0.0000 0.0000 0.0000  6 Te 3.10
4 Tb 0.0000 0.0000 0.5000  6 Te 3.10
5 Tb 0.3333 0.6667 0.6176  6 Te 3.09-3.10
6 Tb 0.3333 0.6667 0.8824  6 Te 3.09-3.10
7 Tb 0.6667 0.3333 0.1176  6 Te 3.09-3.10
8 Tb 0.6667 0.3333 0.3824  6 Te 3.09-3.10
9 Te 0.0000 0.0000 0.1768  3 Tb 3.10, 3 Ac 3.36
10 Te 0.0000 0.0000 0.3232  3 Tb 3.10, 3 Ac 3.36
11 Te 0.0000 0.0000 0.6768  3 Tb 3.10, 3 Ac 3.36
12 Te 0.0000 0.0000 0.8232  3 Tb 3.10, 3 Ac 3.36
13 Te 0.3333 0.6667 0.0589  6 Tb 3.09-3.10
14 Te 0.3333 0.6667 0.4411  6 Tb 3.09-3.10
15 Te 0.6667 0.3333 0.5589  6 Tb 3.09-3.10
16 Te 0.6667 0.3333 0.9411  6 Tb 3.09-3.10


(B)
Compound: AcTb3Te4
Source: Alexandria
Functional: GGA-PBE
Structure: optimized geometry

Properties
Its magnetic moment is 0.000 μB/f.u.

a = 7.7856 Å, b = 7.7856 Å, c = 4.3853 Å
α = 90.00°, β = 90.00°, γ = 108.53°
With the nearest neighbours (Å) after each atom.
Sites, in units of the cell vectors:
1 Ac 0.0000 0.0000 0.0000  6 Te 3.26-3.27
2 Tb 0.0000 0.5000 0.5000  6 Te 3.16
3 Tb 0.5000 0.0000 0.5000  6 Te 3.16
4 Tb 0.5000 0.5000 0.0000  6 Te 3.05-3.06
5 Te 0.2581 0.7419 0.0000  5 Tb 3.06-3.16, 1 Ac 3.26
6 Te 0.2665 0.2665 0.5000  4 Tb 3.05-3.16, 2 Ac 3.27
7 Te 0.7335 0.7335 0.5000  4 Tb 3.05-3.16, 2 Ac 3.27
8 Te 0.7419 0.2581 0.0000  5 Tb 3.06-3.16, 1 Ac 3.26


Most stable one: (A), least stable one: (B).


(A)
Compound: AcTb2Te
Source: Alexandria
Functional: GGA-PBE
Structure: optimized geometry

Properties
Its magnetic moment is 0.000 μB/f.u.

a = 11.4486 Å, b = 11.4486 Å, c = 11.4486 Å
α = 19.68°, β = 19.68°, γ = 19.68°
With the nearest neighbours (Å) after each atom.
Sites, in units of the cell vectors:
1 Ac 0.0000 0.0000 0.0000  2 Tb 3.61, 6 Ac 3.91
2 Tb 0.1071 0.1071 0.1071  3 Te 3.02
3 Tb 0.8929 0.8929 0.8929  3 Te 3.02
4 Te 0.5000 0.5000 0.5000  6 Tb 3.02


(B)
Compound: AcTb2Te
Source: Alexandria
Functional: GGA-PBE
Structure: optimized geometry

Properties
Its magnetic moment is 0.000 μB/f.u.

a = 3.9072 Å, b = 3.9072 Å, c = 8.3109 Å
α = 90.00°, β = 90.00°, γ = 90.00°
With the nearest neighbours (Å) after each atom.
Sites, in units of the cell vectors:
1 Ac 0.0000 0.0000 0.0000  8 Tb 3.67, 4 Ac 3.91
2 Tb 0.5000 0.5000 0.2898  4 Te 3.27, 1 Tb 3.49
3 Tb 0.5000 0.5000 0.7102  4 Te 3.27, 1 Tb 3.49
4 Te 0.0000 0.0000 0.5000  8 Tb 3.27


Most stable one: (B), least stable one: (A).